# 1
Density functional theory data (PBE) for crystalline Cd4Fe at its relaxed geometry.

Space group ... Pm-3m (221)
Energy of formation ... 0.5272 eV/atom
V ... 130.4 Å³ per cell

Lattice parameters (Å, degrees): 5.0710 5.0710 5.0710 90.00 90.00 90.00
Positions (direct):
Fe  0.5000  0.5000  0.5000
Cd  0.0000  0.0000  0.0000
Cd  0.5000  0.0000  0.5000
Cd  0.0000  0.5000  0.5000
Cd  0.5000  0.5000  0.0000

=====

# 2
Density functional theory data (PBE) for crystalline Sn2HgPb3 at its relaxed geometry.

Space group ... Cmmm (65)
Energy of formation ... 0.0673 eV/atom
V ... 177.3 Å³ per cell
Energy relative to the lowest polymorph listed for this composition ... 1.6 kJ per mole of atoms

Lattice parameters (Å, degrees): 5.9976 5.8074 5.8596 119.71 90.00 90.00
Positions (direct):
Sn  0.0000  0.6702  0.3404
Sn  0.0000  0.3298  0.6596
Hg  0.0000  0.0000  0.0000
Pb  0.5000  0.1690  0.3379
Pb  0.5000  0.5000  0.0000
Pb  0.5000  0.8310  0.6621

=====

# 3
Density functional theory data (PBE) for crystalline Pm8NdSm3 at its relaxed geometry.

Space group ... Immm (71)
Energy of formation ... 0.3091 eV/atom
V ... 441.1 Å³ per cell

Lattice parameters (Å, degrees): 8.8177 8.8177 8.8177 97.11 98.99 136.05
Positions (direct):
Pm  0.5008  0.2474  0.2527
Pm  0.4992  0.7519  0.7466
Pm  0.0053  0.7526  0.2534
Pm  0.9947  0.2481  0.7473
Pm  0.1665  0.2501  0.4169
Pm  0.8335  0.2504  0.0836
Pm  0.1668  0.7499  0.9164
Pm  0.8333  0.7496  0.5831
Nd  0.0000  0.0000  0.0000
Sm  0.5000  0.7520  0.2520
Sm  0.5000  0.2480  0.7480
Sm  0.0000  0.5000  0.5000

=====

# 4
Density functional theory data (PBE) for crystalline Mg2AlTl at its relaxed geometry.

Space group ... F-43m (216)
Energy of formation ... 0.1376 eV/atom
V ... 91.8 Å³ per cell

Lattice parameters (Å, degrees): 5.0630 5.0630 5.0630 60.00 60.00 60.00
Positions (direct):
Al  0.5000  0.5000  0.5000
Mg  0.0000  0.0000  0.0000
Mg  0.2500  0.2500  0.2500
Tl  0.7500  0.7500  0.7500

=====

# 5
Density functional theory data (PBE) for crystalline Ag2PNO at its relaxed geometry.

Space group ... P4/mmm (123)
V ... 73.7 Å³ per cell
Energy relative to the elements, uncorrected ... 0.850 eV/atom

Lattice parameters (Å, degrees): 4.5287 3.5940 4.5287 90.00 90.00 90.00
Positions (direct):
P  0.0000  0.5000  0.0000
O  0.5000  0.5000  0.5000
Ag  0.0000  0.0000  0.5000
Ag  0.5000  0.0000  0.0000
N  0.0000  0.0000  0.0000

=====

# 6
Density functional theory data (PBE) for crystalline SrPu2O8 at its relaxed geometry.

Space group ... C2/m (12)
V ... 194.0 Å³ per cell
Energy relative to the elements, uncorrected ... -2.386 eV/atom

Lattice parameters (Å, degrees): 5.6142 6.2108 6.2108 66.57 79.62 79.62
Positions (direct):
Sr  0.0000  0.0000  0.0000
Pu  0.4663  0.2769  0.2769
Pu  0.5337  0.7231  0.7231
O  0.3315  0.6410  0.0624
O  0.6685  0.9376  0.3590
O  0.2304  0.1804  0.1804
O  0.7696  0.8196  0.8196
O  0.3315  0.0624  0.6410
O  0.6685  0.3590  0.9376
O  0.6911  0.3775  0.3775
O  0.3089  0.6225  0.6225

=====

# 7
Density functional theory data (PBE) for crystalline Tb3Sm3Er at its relaxed geometry.

Space group ... R-3 (148)
Energy of formation ... 0.1541 eV/atom
V ... 478.9 Å³ per cell
Energy relative to the lowest polymorph listed for this composition ... 13.2 kJ per mole of atoms

Lattice parameters (Å, degrees): 6.2169 6.2169 14.7505 77.83 77.83 60.00
Positions (direct):
Tb  0.9352  0.2686  0.1947
Tb  0.6015  0.9352  0.1947
Tb  0.2686  0.6015  0.1947
Tb  0.7314  0.3985  0.8053
Tb  0.3985  0.0648  0.8053
Tb  0.0648  0.7314  0.8053
Sm  0.1995  0.8683  0.3952
Sm  0.5370  0.1995  0.3952
Sm  0.8683  0.5370  0.3952
Sm  0.1317  0.4630  0.6048
Sm  0.4630  0.8005  0.6048
Sm  0.8005  0.1317  0.6048
Er  0.6667  0.6667  0.9999
Er  0.3333  0.3333  0.0001

=====

# 8
Density functional theory data (PBE) for crystalline BaMoAu2 at its relaxed geometry.

Space group ... P4/mmm (123)
Energy of formation ... 0.3745 eV/atom
V ... 95.6 Å³ per cell
Energy relative to the lowest polymorph listed for this composition ... 29.7 kJ per mole of atoms

Lattice parameters (Å, degrees): 5.1671 5.1671 3.5822 90.00 90.00 90.00
Positions (direct):
Au  0.0000  0.0000  0.0000
Au  0.5000  0.5000  0.0000
Ba  0.5000  0.0000  0.5000
Mo  0.0000  0.5000  0.5000

=====

# 9
Density functional theory data (PBE) for crystalline Mg2AlGaH at its relaxed geometry.

Space group ... P4/mmm (123)
V ... 77.7 Å³ per cell
Total energy ... -2.6259 eV/atom

Lattice parameters (Å, degrees): 4.2233 4.2233 4.3579 90.00 90.00 90.00
Positions (direct):
H  0.0000  0.0000  0.0000
Mg  0.0000  0.5000  0.0000
Mg  0.5000  0.0000  0.0000
Al  0.0000  0.0000  0.5000
Ga  0.5000  0.5000  0.5000

=====

# 10
Density functional theory data (PBE) for crystalline Ca2AlInF8 at its relaxed geometry.

Space group ... P-1 (2)
V ... 186.9 Å³ per cell
Energy relative to the elements, uncorrected ... -3.365 eV/atom

Lattice parameters (Å, degrees): 5.0799 5.0096 7.3480 89.73 89.82 88.57
Positions (direct):
Ca  0.4998  0.4998  0.7586
Ca  0.5002  0.5002  0.2414
Al  0.0000  0.0000  0.0000
In  0.0000  0.0000  0.5000
F  0.1741  0.8056  0.1747
F  0.7282  0.7431  0.9995
F  0.8231  0.1919  0.1741
F  0.8259  0.1944  0.8253
F  0.2718  0.2569  0.0005
F  0.1769  0.8081  0.8259
F  0.6254  0.7086  0.4990
F  0.3746  0.2914  0.5010

=====

# 11
Density functional theory data (PBE) for crystalline SmDy8Ho5 at its relaxed geometry.

Space group ... I-4 (82)
Energy of formation ... 0.2511 eV/atom
V ... 455.9 Å³ per cell

Lattice parameters (Å, degrees): 8.4068 8.4067 8.4068 111.37 105.75 111.37
Positions (direct):
Sm  0.2500  0.5000  0.7500
Dy  0.1645  0.7384  0.0795
Dy  0.9205  0.0850  0.6589
Dy  0.7239  0.2529  0.3295
Dy  0.6705  0.3944  0.9234
Dy  0.5291  0.6056  0.2761
Dy  0.5740  0.9150  0.8355
Dy  0.3411  0.2616  0.4260
Dy  0.0766  0.7471  0.4709
Ho  0.0381  0.3210  0.1354
Ho  0.8646  0.9027  0.1857
Ho  0.8144  0.6790  0.7171
Ho  0.5000  0.0000  0.5000
Ho  0.2829  0.0973  0.9619

=====

# 12
Density functional theory data (PBE) for crystalline LiCaAu at its relaxed geometry.

Space group ... C2/m (12)
Energy of formation ... -0.5639 eV/atom
V ... 142.6 Å³ per cell

Lattice parameters (Å, degrees): 4.2228 5.7852 6.7515 72.46 71.78 68.59
Positions (direct):
Li  0.3067  0.3091  0.0776
Li  0.6933  0.6909  0.9224
Ca  0.9312  0.8140  0.3236
Ca  0.0688  0.1860  0.6764
Au  0.6514  0.3827  0.3146
Au  0.3486  0.6173  0.6854

=====

# 13
Density functional theory data (PBE) for crystalline RbTlSnSe2 at its relaxed geometry.

Space group ... C2/m (12)
V ... 376.3 Å³ per cell
Energy relative to the elements, uncorrected ... -0.648 eV/atom

Lattice parameters (Å, degrees): 4.3618 10.7247 8.6196 77.68 75.34 78.27
Positions (direct):
Rb  0.7308  0.8232  0.7151
Rb  0.2692  0.1768  0.2849
Tl  0.3919  0.4552  0.7610
Tl  0.6081  0.5448  0.2390
Sn  0.0319  0.1187  0.8175
Sn  0.9681  0.8813  0.1825
Se  0.3981  0.8124  0.3913
Se  0.6019  0.1876  0.6087
Se  0.8524  0.3161  0.9791
Se  0.1476  0.6839  0.0209

=====

# 14
Density functional theory data (PBE) for crystalline TaVIN2 at its relaxed geometry.

Space group ... P4/mmm (123)
V ... 95.2 Å³ per cell
Energy relative to the lowest polymorph listed for this composition ... 0.0 kJ per mole of atoms
Energy relative to the elements, uncorrected ... 0.574 eV/atom

Lattice parameters (Å, degrees): 4.0462 4.0462 5.8173 90.00 90.00 90.00
Positions (direct):
I  0.0000  0.0000  0.5000
N  0.0000  0.5000  0.0000
N  0.5000  0.0000  0.0000
V  0.5000  0.5000  0.5000
Ta  0.0000  0.0000  0.0000

=====

# 15
Density functional theory data (PBE) for crystalline H2AuCl6 at its relaxed geometry.

Space group ... C2/c (15)
V ... 553.7 Å³ per cell
Total energy ... -2.6112 eV/atom

Lattice parameters (Å, degrees): 4.8508 12.0073 12.0072 110.76 72.41 72.41
Positions (direct):
H  0.9068  0.7272  0.9810
H  0.5932  0.0190  0.2728
H  0.0932  0.2728  0.0190
H  0.4068  0.9810  0.7272
Au  0.2500  0.2921  0.7079
Au  0.7500  0.7079  0.2921
Cl  0.3040  0.8971  0.7462
Cl  0.1960  0.2538  0.1029
Cl  0.6960  0.1029  0.2538
Cl  0.8040  0.7462  0.8971
Cl  0.1517  0.5406  0.2900
Cl  0.3483  0.7100  0.4594
Cl  0.8483  0.4594  0.7100
Cl  0.6517  0.2900  0.5406
Cl  0.1357  0.6882  0.1084
Cl  0.3643  0.8916  0.3118
Cl  0.8643  0.3118  0.8916
Cl  0.6357  0.1084  0.6882

=====

# 16
Density functional theory data (PBE) for crystalline RbBPb at its relaxed geometry.

Space group ... P6_3/mmc (194)
Energy of formation ... 0.5863 eV/atom
V ... 172.4 Å³ per cell

Lattice parameters (Å, degrees): 4.1062 4.1062 11.8071 90.00 90.00 120.00
Positions (direct):
Pb  0.3333  0.6667  0.2500
Pb  0.6667  0.3333  0.7500
B  0.3333  0.6667  0.7500
B  0.6667  0.3333  0.2500
Rb  0.0000  0.0000  0.0000
Rb  0.0000  0.0000  0.5000

=====

# 17
Density functional theory data (PBE) for crystalline Hg2TePb at its relaxed geometry.

Space group ... Cmmm (65)
V ... 118.1 Å³ per cell
Energy relative to the lowest polymorph listed for this composition ... 18.4 kJ per mole of atoms
Energy relative to the elements, uncorrected ... 0.025 eV/atom

Lattice parameters (Å, degrees): 6.5278 6.5278 3.2592 90.00 90.00 121.77
Positions (direct):
Hg  0.0000  0.0000  0.0000
Hg  0.5000  0.5000  0.0000
Pb  0.5000  0.0000  0.5000
Te  0.0000  0.5000  0.5000

=====

# 18
Density functional theory data (PBE) for crystalline BaAgP2 at its relaxed geometry.

Space group ... P4/mmm (123)
Energy of formation ... 0.0470 eV/atom
V ... 125.6 Å³ per cell
Energy relative to the lowest polymorph listed for this composition ... 51.3 kJ per mole of atoms

Lattice parameters (Å, degrees): 4.4078 4.4078 6.4651 90.00 90.00 90.00
Positions (direct):
Ag  0.5000  0.5000  0.2500
Ba  0.5000  0.5000  0.7500
P  0.0000  0.0000  0.9123
P  0.0000  0.0000  0.5877

=====

# 19
Density functional theory data (PBE) for crystalline Ca2Rh3Pb2 at its relaxed geometry.

Space group ... I2_13 (199)
Energy of formation ... -0.2355 eV/atom
V ... 326.6 Å³ per cell

Lattice parameters (Å, degrees): 7.5138 7.5138 7.5138 109.47 109.47 109.47
Positions (direct):
Ca  0.0000  0.0000  0.4885
Ca  0.5000  0.4885  0.5000
Ca  0.5115  0.0115  0.0115
Ca  0.9885  0.5000  0.0000
Rh  0.7785  0.7500  0.0285
Rh  0.7215  0.2500  0.4715
Rh  0.9715  0.2215  0.2500
Rh  0.5285  0.2785  0.7500
Rh  0.2500  0.0285  0.2785
Rh  0.7500  0.4715  0.2215
Pb  0.0000  0.0000  0.9005
Pb  0.5000  0.9005  0.5000
Pb  0.0995  0.5995  0.5995
Pb  0.4005  0.5000  0.0000

=====

# 20
Density functional theory data (PBE) for crystalline Ni3BS at its relaxed geometry.

Space group ... Pm-3m (221)
V ... 57.1 Å³ per cell
Energy relative to the lowest polymorph listed for this composition ... 0.0 kJ per mole of atoms
Energy relative to the elements, uncorrected ... 0.161 eV/atom

Lattice parameters (Å, degrees): 3.8509 3.8509 3.8509 90.00 90.00 90.00
Positions (direct):
Ni  0.0000  0.5000  0.0000
Ni  0.0000  0.0000  0.5000
Ni  0.5000  0.0000  0.0000
S  0.5000  0.5000  0.5000
B  0.0000  0.0000  0.0000